# 1
Compound: AlAs2W
Source: the Alexandria database
Functional: GGA-PBE
Structure: optimized geometry

Summary:
As for the space group: No. 71. The density of states at the Fermi level is 0.500 states/eV/atom. The value obtained for the energy of formation from the pure elements is 280.4 meV per atom.

Unit cell a=4.853 b=4.853 c=4.853 alpha=136.70 beta=121.72 gamma=75.32
Fractional positions:
As (0.021, 0.021, 0.000)
As (0.479, 0.479, 0.000)
Al (0.250, 0.750, 0.500)
W (0.750, 0.250, 0.500)

# 2
Compound: Ca2La3NpN6
Source: the Alexandria database
Functional: GGA-PBE
Structure: optimized geometry

Summary:
As for the space group: No. 12. Its formation energy without anion corrections is -1.238 eV/atom. The density of states at the Fermi level is 0.271 states/eV/atom.

Unit cell a=6.217 b=6.217 c=6.265 alpha=99.47 beta=99.47 gamma=119.79
Fractional positions:
Ca (0.334, 0.666, 0.000)
Ca (0.666, 0.334, 0.000)
La (0.168, 0.832, 0.500)
La (0.832, 0.168, 0.500)
La (0.500, 0.500, 0.500)
Np (0.000, 0.000, 0.000)
N (0.925, 0.639, 0.776)
N (0.786, 0.786, 0.241)
N (0.075, 0.361, 0.224)
N (0.639, 0.925, 0.776)
N (0.214, 0.214, 0.759)
N (0.361, 0.075, 0.224)

# 3
Compound: Sr2TiNi
Source: the Alexandria database
Functional: GGA-PBE
Structure: optimized geometry

Summary:
As for the space group: No. 225. The density of states at the Fermi level is 2.576 states/eV/atom. The value obtained for the energy of formation from the pure elements is 808.1 meV per atom.

Unit cell a=5.388 b=5.388 c=5.388 alpha=60.00 beta=60.00 gamma=60.00
Fractional positions:
Sr (0.250, 0.250, 0.250)
Sr (0.750, 0.750, 0.750)
Ti (0.000, 0.000, 0.000)
Ni (0.500, 0.500, 0.500)

# 4
Compound: Sn4Pd7Au
Source: the Alexandria database
Functional: GGA-PBE
Structure: optimized geometry

Summary:
As for the space group: No. 12. The density of states at the Fermi level is 0.410 states/eV/atom. The value obtained for the energy of formation from the pure elements is -305.9 meV per atom.

Unit cell a=5.020 b=8.599 c=6.126 alpha=79.76 beta=65.81 gamma=73.03
Fractional positions:
Sn (0.591, 0.219, 0.600)
Sn (0.409, 0.781, 0.400)
Sn (0.744, 0.668, 0.844)
Sn (0.256, 0.332, 0.156)
Pd (0.797, 0.904, 0.502)
Pd (0.203, 0.096, 0.498)
Pd (0.080, 0.669, 0.171)
Pd (0.920, 0.331, 0.829)
Pd (0.365, 0.528, 0.743)
Pd (0.500, 0.000, 0.000)
Pd (0.635, 0.472, 0.257)
Au (0.000, 0.000, 0.000)